Density functional theory data (GGA-PBE) for a geometry-optimized LiIn structure.

Unit cell a=6.8754 b=6.8754 c=6.8754 alpha=90.00 beta=90.00 gamma=90.00
Fractional coordinates of all 16 atoms:
Li 0.1250 0.1250 0.1250
Li 0.1250 0.6250 0.6250
Li 0.3750 0.3750 0.8750
Li 0.3750 0.8750 0.3750
Li 0.6250 0.1250 0.6250
Li 0.6250 0.6250 0.1250
Li 0.8750 0.3750 0.3750
Li 0.8750 0.8750 0.8750
In 0.1250 0.1250 0.6250
In 0.1250 0.6250 0.1250
In 0.3750 0.3750 0.3750
In 0.3750 0.8750 0.8750
In 0.6250 0.1250 0.1250
In 0.6250 0.6250 0.6250
In 0.8750 0.3750 0.8750
In 0.8750 0.8750 0.3750

**Energy relative to the elements**: -0.2407 eV per atom
**SG**: Fd-3m
**E**: -2.567 eV/atom


Density functional theory data (GGA-PBE) for a geometry-optimized Pm4Sm3Ga structure.

Unit cell a=3.6408 b=3.6408 c=19.2880 alpha=90.00 beta=90.00 gamma=90.00
Fractional coordinates of all 8 atoms:
Pm 0.0000 0.0000 0.0961
Pm 0.0000 0.0000 0.3656
Pm 0.0000 0.0000 0.6344
Pm 0.0000 0.0000 0.9039
Sm 0.5000 0.5000 0.2329
Sm 0.5000 0.5000 0.5000
Sm 0.5000 0.5000 0.7671
Ga 0.5000 0.5000 0.0000

**Energy relative to the elements**: -0.1181 eV per atom
**SG**: P4/mmm
**E**: -4.641 eV/atom


Density functional theory data (GGA-PBE) for a geometry-optimized CsTeCl5 structure.

Unit cell a=7.8751 b=7.8751 c=10.6939 alpha=109.81 beta=109.81 gamma=58.77
Fractional coordinates of all 14 atoms:
Cs 0.9998 0.0002 0.2500
Cs 0.0002 0.9998 0.7500
Te 0.5000 0.5000 0.0000
Te 0.5000 0.5000 0.5000
Cl 0.1271 0.5971 0.9313
Cl 0.1278 0.5941 0.4305
Cl 0.4029 0.8729 0.5687
Cl 0.4059 0.8722 0.0695
Cl 0.4998 0.5002 0.2500
Cl 0.5002 0.4998 0.7500
Cl 0.5941 0.1278 0.9305
Cl 0.5971 0.1271 0.4313
Cl 0.8722 0.4059 0.5695
Cl 0.8729 0.4029 0.0687

**Energy relative to the elements, uncorrected**: -1.01 eV per atom
**SG**: C2/c
**E**: -2.895 eV/atom


Density functional theory data (GGA-PBE) for a geometry-optimized AcPm6Nd2Er structure.

Unit cell a=9.1129 b=9.1129 c=9.7797 alpha=92.99 beta=92.99 gamma=118.19
Fractional coordinates of all 20 atoms:
Ac 0.0232 0.9768 0.7500
Ac 0.9768 0.0232 0.2500
Pm 0.0145 0.5636 0.6890
Pm 0.1319 0.7501 0.0555
Pm 0.2499 0.8681 0.4445
Pm 0.2889 0.5024 0.8838
Pm 0.4364 0.9855 0.8110
Pm 0.4976 0.7111 0.6162
Pm 0.5024 0.2889 0.3838
Pm 0.5636 0.0145 0.1890
Pm 0.7111 0.4976 0.1162
Pm 0.7501 0.1319 0.5555
Pm 0.8681 0.2499 0.9445
Pm 0.9855 0.4364 0.3110
Nd 0.2004 0.3159 0.5458
Nd 0.3159 0.2004 0.0458
Nd 0.6841 0.7996 0.9542
Nd 0.7996 0.6841 0.4542
Er 0.4114 0.5886 0.2500
Er 0.5886 0.4114 0.7500

**Energy relative to the elements**: 0.1175 eV per atom
**SG**: C2/c
**E**: -4.554 eV/atom


Density functional theory data (GGA-PBE) for a geometry-optimized Dy2Tm2Sb3 structure.

Unit cell a=13.9283 b=4.3364 c=7.3163 alpha=90.00 beta=99.34 gamma=90.00
Fractional coordinates of all 14 atoms:
Dy 0.1238 0.0000 0.3618
Dy 0.3762 0.5000 0.6382
Dy 0.6238 0.5000 0.3618
Dy 0.8762 0.0000 0.6382
Tm 0.1188 0.5000 0.8844
Tm 0.3812 0.0000 0.1156
Tm 0.6188 0.0000 0.8844
Tm 0.8812 0.5000 0.1156
Sb 0.0000 0.5000 0.5000
Sb 0.2418 0.0000 0.7537
Sb 0.2582 0.5000 0.2463
Sb 0.5000 0.0000 0.5000
Sb 0.7418 0.5000 0.7537
Sb 0.7582 0.0000 0.2463

**E above lowest polymorph**: 143 meV/atom
**Energy relative to the elements, uncorrected**: -0.81 eV per atom
**SG**: C2/m
**E**: -5.169 eV/atom


Density functional theory data (GGA-PBE) for a geometry-optimized Tm2NpCd structure.

Unit cell a=3.3463 b=3.3463 c=9.2938 alpha=90.00 beta=90.00 gamma=90.00
Fractional coordinates of all 4 atoms:
Tm 0.0000 0.0000 0.2394
Tm 0.0000 0.0000 0.7606
Np 0.5000 0.5000 0.5000
Cd 0.5000 0.5000 0.0000

**Energy relative to the elements**: 0.1182 eV per atom
**SG**: P4/mmm
**E**: -5.582 eV/atom


Density functional theory data (GGA-PBE) for a geometry-optimized Sm3Ho7Er2 structure.

Unit cell a=6.0938 b=5.5906 c=12.0721 alpha=90.00 beta=94.26 gamma=90.00
Fractional coordinates of all 12 atoms:
Sm 0.0000 0.0000 0.0000
Sm 0.4634 0.5000 0.3266
Sm 0.5366 0.5000 0.6734
Ho 0.0520 0.5000 0.8228
Ho 0.2690 0.0000 0.5567
Ho 0.4066 0.0000 0.8378
Ho 0.5000 0.5000 0.0000
Ho 0.5934 0.0000 0.1622
Ho 0.7310 0.0000 0.4433
Ho 0.9480 0.5000 0.1772
Er 0.1349 0.0000 0.2859
Er 0.8651 0.0000 0.7141

**Energy relative to the elements**: 0.3049 eV per atom
**SG**: P2/m
**E**: -4.306 eV/atom


Density functional theory data (GGA-PBE) for a geometry-optimized TlReRh2 structure.

Unit cell a=3.9919 b=3.9919 c=8.0925 alpha=90.00 beta=90.00 gamma=90.00
Fractional coordinates of all 8 atoms:
Tl 0.0000 0.0000 0.0000
Tl 0.5000 0.5000 0.5000
Re 0.0000 0.5000 0.7500
Re 0.5000 0.0000 0.2500
Rh 0.0000 0.0000 0.5000
Rh 0.0000 0.5000 0.2500
Rh 0.5000 0.0000 0.7500
Rh 0.5000 0.5000 0.0000

**E above lowest polymorph**: 389 meV/atom
**Energy relative to the elements**: 0.4689 eV per atom
**SG**: I-4m2
**E**: -6.910 eV/atom


Density functional theory data (GGA-PBE) for a geometry-optimized TaBeCo2 structure.

Unit cell a=2.7265 b=2.7265 c=22.5600 alpha=90.00 beta=90.00 gamma=120.00
Fractional coordinates of all 12 atoms:
Ta 0.0000 0.0000 0.0000
Ta 0.3333 0.6667 0.6667
Ta 0.6667 0.3333 0.3333
Be 0.0000 0.0000 0.5000
Be 0.3333 0.6667 0.1667
Be 0.6667 0.3333 0.8333
Co 0.0000 0.0000 0.2374
Co 0.0000 0.0000 0.7626
Co 0.3333 0.6667 0.4293
Co 0.3333 0.6667 0.9040
Co 0.6667 0.3333 0.0960
Co 0.6667 0.3333 0.5707

**Energy relative to the elements**: 0.1533 eV per atom
**SG**: R-3m
**E**: -7.294 eV/atom